1.
! Y2InHg, PBEsol geometry, DFT meta-GGA SCAN; values from VASP
! **E_form**: -0.73 eV/atom
! **Electronic total energy**: -40.04 eV/atom
! **Space-group type**: P4/mmm
&SYSTEM
  ibrav = 0, nat = 4, ntyp = 3
/
ATOMIC_SPECIES
Y 88.91 Y.upf
Hg 200.59 Hg.upf
In 114.82 In.upf
CELL_PARAMETERS angstrom
-2.058 1.264 2.725
-2.145 -2.931 -0.260
4.348 -3.621 4.965
ATOMIC_POSITIONS angstrom
Y 3.284 -2.735 3.750
Y 1.064 -0.886 1.215
Hg -2.102 -0.833 1.232
In 0.072 -2.644 3.715

2.
! YInHg, PBEsol geometry, DFT meta-GGA SCAN; values from VASP
! **E_form**: -0.73 eV/atom
! **Electronic total energy**: -43.86 eV/atom
! **Space-group type**: P6_3mc
&SYSTEM
  ibrav = 0, nat = 6, ntyp = 3
/
ATOMIC_SPECIES
Y 88.91 Y.upf
Hg 200.59 Hg.upf
In 114.82 In.upf
CELL_PARAMETERS angstrom
-4.631 -1.033 -0.194
2.857 -1.222 -3.591
1.306 -6.465 3.239
ATOMIC_POSITIONS angstrom
Y 0.267 -1.320 0.661
Y 0.920 -4.552 2.280
Hg -2.118 -1.180 -1.284
Hg 1.031 -4.475 -0.797
In 1.568 -7.129 0.533
In -1.582 -3.834 0.046

3.
! YInHg, PBEsol geometry, DFT meta-GGA SCAN; values from VASP
! **E_form**: -0.73 eV/atom
! **Electronic total energy**: -43.86 eV/atom
! **Space-group type**: F-43m
&SYSTEM
  ibrav = 0, nat = 3, ntyp = 3
/
ATOMIC_SPECIES
Y 88.91 Y.upf
Hg 200.59 Hg.upf
In 114.82 In.upf
CELL_PARAMETERS angstrom
-2.136 0.841 4.200
2.272 -1.021 4.088
1.567 3.540 2.816
ATOMIC_POSITIONS angstrom
Y 0.851 1.680 5.552
Hg 0.426 0.840 2.776
In 0.000 0.000 0.000

4.
! YIn2Hg, PBEsol geometry, DFT meta-GGA SCAN; values from VASP
! **E_form**: -0.45 eV/atom
! **Electronic total energy**: -41.14 eV/atom
! **Space-group type**: I-4m2
&SYSTEM
  ibrav = 0, nat = 4, ntyp = 3
/
ATOMIC_SPECIES
Y 88.91 Y.upf
Hg 200.59 Hg.upf
In 114.82 In.upf
CELL_PARAMETERS angstrom
-2.892 0.710 3.336
-3.386 -0.074 -2.920
2.709 -4.967 0.409
ATOMIC_POSITIONS angstrom
Y -3.139 0.318 0.208
Hg -1.908 -2.362 -1.152
In 0.000 0.000 0.000
In -1.661 -1.970 1.976

5.
! Y2InHg, PBEsol geometry, DFT meta-GGA SCAN; values from VASP
! **E_form**: -0.61 eV/atom
! **Electronic total energy**: -39.92 eV/atom
! **Space-group type**: Imm2
&SYSTEM
  ibrav = 0, nat = 4, ntyp = 3
/
ATOMIC_SPECIES
Y 88.91 Y.upf
Hg 200.59 Hg.upf
In 114.82 In.upf
CELL_PARAMETERS angstrom
-0.367 -1.549 -3.365
4.972 -0.414 -0.351
-2.546 -3.911 4.137
ATOMIC_POSITIONS angstrom
Y 2.060 -5.835 0.403
Y -0.312 -3.375 -0.471
Hg 2.294 -1.119 -1.794
In 2.379 -2.401 0.846

6.
! YInHg, PBEsol geometry, DFT meta-GGA SCAN; values from VASP
! **E_form**: -0.64 eV/atom
! **Electronic total energy**: -43.77 eV/atom
! **Space-group type**: P-6m2
&SYSTEM
  ibrav = 0, nat = 3, ntyp = 3
/
ATOMIC_SPECIES
Y 88.91 Y.upf
Hg 200.59 Hg.upf
In 114.82 In.upf
CELL_PARAMETERS angstrom
3.482 0.000 0.000
0.000 4.837 0.000
0.000 -2.419 4.189
ATOMIC_POSITIONS angstrom
Y 1.161 2.419 1.396
Hg 2.900 0.000 0.000
In 2.903 0.000 2.793

7.
! YIn2Hg, PBEsol geometry, DFT meta-GGA SCAN; values from VASP
! **E_form**: -0.55 eV/atom
! **Electronic total energy**: -41.24 eV/atom
! **Space-group type**: P4/mmm
&SYSTEM
  ibrav = 0, nat = 4, ntyp = 3
/
ATOMIC_SPECIES
Y 88.91 Y.upf
Hg 200.59 Hg.upf
In 114.82 In.upf
CELL_PARAMETERS angstrom
4.489 -0.045 0.044
0.045 4.528 0.052
-0.045 -0.053 4.528
ATOMIC_POSITIONS angstrom
Y 2.245 -0.022 0.022
Hg 2.245 2.215 2.312
In -0.022 -0.026 2.264
In 0.022 2.264 0.026

8.
! YIn2Hg2, PBEsol geometry, DFT meta-GGA SCAN; values from VASP
! **E_form**: -0.25 eV/atom
! **Electronic total energy**: -46.44 eV/atom
! **Space-group type**: I4/mmm
&SYSTEM
  ibrav = 0, nat = 5, ntyp = 3
/
ATOMIC_SPECIES
Y 88.91 Y.upf
Hg 200.59 Hg.upf
In 114.82 In.upf
CELL_PARAMETERS angstrom
4.461 0.000 0.000
0.000 4.461 0.000
-2.231 -2.231 6.108
ATOMIC_POSITIONS angstrom
Y 0.000 0.000 0.000
Hg 0.000 2.231 3.054
Hg 2.231 0.000 3.054
In 0.000 0.000 4.780
In 2.231 2.231 1.328

M_tot for the records above, in order: 0.000, 0.000, 0.000, 0.000, 0.000, 0.000, 0.000, 0.000 μB per cell